Entry 1:
Pm3Ga8Pt3: relaxed, GGA-PBE.

a = 8.254 Å, b = 8.254 Å, c = 9.199 Å
α = 123.09°, β = 123.09°, γ = 31.20°
Fractional coordinates of all 14 atoms:
Pm 0.000 0.000 0.000
Pm 0.292 0.292 0.298
Pm 0.708 0.708 0.702
Ga 0.139 0.139 0.427
Ga 0.153 0.153 0.870
Ga 0.345 0.345 0.713
Ga 0.497 0.497 0.323
Ga 0.503 0.503 0.677
Ga 0.655 0.655 0.287
Ga 0.847 0.847 0.130
Ga 0.861 0.861 0.573
Pt 0.000 0.000 0.500
Pt 0.352 0.352 0.995
Pt 0.648 0.648 0.005

Computed properties:
Its final energy is -67.7 eV/cell. For the calculated density, the calculation gives 9.80 g/cm3. The density of states at the Fermi level comes out at 5.20 states/eV per cell. For the formation energy, the calculation gives -0.796 eV per atom.

---

Entry 2:
PmGa2Pt: relaxed, GGA-PBE.

a = 5.705 Å, b = 5.705 Å, c = 5.705 Å
α = 44.00°, β = 44.00°, γ = 44.00°
Fractional coordinates of all 4 atoms:
Pm 0.000 0.000 0.000
Ga 0.217 0.217 0.217
Ga 0.783 0.783 0.783
Pt 0.500 0.500 0.500

Computed properties:
Its final energy is -20.2 eV/cell. For the calculated density, the calculation gives 9.78 g/cm3. The density of states at the Fermi level comes out at 1.88 states/eV per cell. For the formation energy, the calculation gives -0.839 eV per atom.

---

Entry 3:
Pm2GaPt2: relaxed, GGA-PBE.

a = 7.356 Å, b = 7.356 Å, c = 7.356 Å
α = 121.98°, β = 78.19°, γ = 132.45°
Fractional coordinates of all 10 atoms:
Pm 0.148 0.166 0.314
Pm 0.352 0.666 0.018
Pm 0.648 0.334 0.982
Pm 0.852 0.834 0.686
Ga 0.250 0.750 0.500
Ga 0.750 0.250 0.500
Pt 0.107 0.750 0.858
Pt 0.393 0.250 0.643
Pt 0.607 0.750 0.357
Pt 0.893 0.250 0.142

Computed properties:
Its final energy is -58.8 eV/cell. For the calculated density, the calculation gives 10.31 g/cm3. The density of states at the Fermi level comes out at 5.87 states/eV per cell. For the formation energy, the calculation gives -0.961 eV per atom.

---

Entry 4:
Pm3Ga7Pt4: relaxed, GGA-PBE.

a = 8.309 Å, b = 8.309 Å, c = 9.376 Å
α = 123.48°, β = 123.48°, γ = 30.47°
Fractional coordinates of all 14 atoms:
Pm 0.000 0.000 0.000
Pm 0.311 0.311 0.306
Pm 0.689 0.689 0.694
Ga 0.000 0.000 0.500
Ga 0.157 0.157 0.430
Ga 0.321 0.321 0.964
Ga 0.498 0.498 0.287
Ga 0.502 0.502 0.713
Ga 0.679 0.679 0.036
Ga 0.843 0.843 0.570
Pt 0.125 0.125 0.856
Pt 0.345 0.345 0.715
Pt 0.655 0.655 0.285
Pt 0.875 0.875 0.144

Computed properties:
Its final energy is -72.1 eV/cell. For the calculated density, the calculation gives 10.50 g/cm3. The density of states at the Fermi level comes out at 6.82 states/eV per cell. For the formation energy, the calculation gives -0.892 eV per atom.